[1]
The following is a DFT calculation (GGA-PBEsol) of a relaxed structure of Hg3RuN.

a = 5.1843 Å, b = 5.1843 Å, c = 5.1843 Å
α = 90.00°, β = 90.00°, γ = 90.00°
Fractional positions:
Hg 0.0000 0.0000 0.5000
Hg 0.0000 0.5000 0.0000
Hg 0.5000 0.0000 0.0000
Ru 0.0000 0.0000 0.0000
N 0.5000 0.5000 0.5000

Output
- Space group: Pm-3m (221)
- Total moment: 3.76 μB/f.u.

[2]
The following is a DFT calculation (GGA-PBEsol) of a relaxed structure of Ca2ScCrSb.

a = 5.2734 Å, b = 5.2734 Å, c = 4.8311 Å
α = 90.00°, β = 90.00°, γ = 90.00°
Fractional positions:
Ca 0.0000 0.5000 0.0000
Ca 0.5000 0.0000 0.0000
Sc 0.0000 0.0000 0.5000
Cr 0.0000 0.0000 0.0000
Sb 0.5000 0.5000 0.5000

Output
- Space group: P4/mmm (123)
- Total moment: 2.39 μB/f.u.

Short version: electronic total energy = -12.4, -23.8 eV for the cell shown, in the order given.